P.
Material: AcY4
Method: DFT, PBE
State: optimized geometry

Lattice parameters (Å, degrees): 3.6219 5.7624 8.9967 108.66 101.59 90.00
Fractional coordinates of all 5 atoms:
Ac  0.5000  0.0000  0.5000
Y  0.8991  0.3986  0.2973
Y  0.1009  0.6014  0.7027
Y  0.2156  0.2152  0.9304
Y  0.7844  0.7848  0.0696

Calculated values
Total magnetic moment = 0.0 μB per formula unit
N(E_F) = 8.54 states/eV/cell
V = 34.8 Å³/atom

Q.
Material: AcY4
Method: DFT, PBE
State: optimized geometry

Lattice parameters (Å, degrees): 5.8859 5.8859 5.8859 90.00 90.00 90.00
Fractional coordinates of all 5 atoms:
Y  0.0000  0.5000  0.5000
Y  0.5000  0.0000  0.5000
Y  0.5000  0.5000  0.0000
Ac  0.5000  0.5000  0.5000
Y  0.0000  0.0000  0.0000

Calculated values
Total magnetic moment = 0.0 μB per formula unit
N(E_F) = 9.51 states/eV/cell
V = 40.8 Å³/atom

How far above the most stable structure does each one sit? In eV/atom: P 0.000; Q 0.934.

P.
Material: AcYZn
Method: DFT, PBE
State: optimized geometry

Lattice parameters (Å, degrees): 3.7865 3.7865 6.9355 105.84 105.84 90.00
Fractional coordinates of all 3 atoms:
Y  0.3001  0.3001  0.6002
Zn  0.6844  0.6844  0.3688
Ac  0.0155  0.0155  0.0310

Calculated values
Total magnetic moment = 0.0 μB per formula unit
N(E_F) = 3.90 states/eV/cell
V = 30.6 Å³/atom

Q.
Material: AcYZn
Method: DFT, PBE
State: optimized geometry

Lattice parameters (Å, degrees): 5.2601 9.0743 7.7666 90.00 90.00 90.00
Fractional coordinates of all 12 atoms:
Zn  0.0000  0.9177  0.7499
Ac  0.0000  0.2506  0.5004
Ac  0.0000  0.2506  0.9995
Ac  0.5000  0.7494  0.0004
Zn  0.5000  0.0823  0.2499
Y  0.5000  0.4148  0.2496
Y  0.0000  0.9160  0.2499
Zn  0.5000  0.4173  0.7507
Y  0.0000  0.5852  0.7496
Zn  0.0000  0.5827  0.2507
Y  0.5000  0.0840  0.7499
Ac  0.5000  0.7494  0.4995

Calculated values
Total magnetic moment = 0.0 μB per formula unit
N(E_F) = 12.52 states/eV/cell
V = 30.9 Å³/atom

R.
Material: AcYZn
Method: DFT, PBE
State: optimized geometry

Lattice parameters (Å, degrees): 4.0142 5.2059 5.2059 120.00 90.00 90.00
Fractional coordinates of all 3 atoms:
Ac  0.0001  0.0000  0.0000
Zn  0.4997  0.3333  0.6667
Y  0.5002  0.6667  0.3333

Calculated values
Total magnetic moment = 0.0 μB per formula unit
N(E_F) = 4.45 states/eV/cell
V = 31.4 Å³/atom

How far above the most stable structure does each one sit? In eV/atom: P 0.000; Q 0.122; R 0.141.

P.
Material: AcYZn4
Method: DFT, PBE
State: optimized geometry

Lattice parameters (Å, degrees): 4.2681 4.2681 8.3460 104.82 104.82 90.00
Fractional coordinates of all 6 atoms:
Ac  0.0000  0.0000  0.0000
Zn  0.5891  0.5891  0.1782
Y  0.2500  0.7500  0.5000
Zn  0.4109  0.4109  0.8218
Zn  0.6718  0.1718  0.3435
Zn  0.8282  0.3282  0.6565

Calculated values
Total magnetic moment = 0.0 μB per formula unit
N(E_F) = 6.42 states/eV/cell
V = 23.6 Å³/atom

Q.
Material: AcYZn4
Method: DFT, PBE
State: optimized geometry

Lattice parameters (Å, degrees): 5.6593 5.6593 5.6593 60.00 60.00 60.00
Fractional coordinates of all 6 atoms:
Zn  0.6267  0.1200  0.6267
Zn  0.1200  0.6267  0.6267
Ac  0.2500  0.2500  0.2500
Zn  0.6267  0.6267  0.1200
Y  0.0000  0.0000  0.0000
Zn  0.6267  0.6267  0.6267

Calculated values
Total magnetic moment = 0.0 μB per formula unit
N(E_F) = 2.45 states/eV/cell
V = 21.4 Å³/atom

How far above the most stable structure does each one sit? In eV/atom: P 0.000; Q 0.010.

P.
Material: AcY2Zn
Method: DFT, PBE
State: optimized geometry

Lattice parameters (Å, degrees): 3.7487 3.7487 10.6234 79.84 79.84 60.00
Fractional coordinates of all 4 atoms:
Zn  0.0000  0.0000  0.0000
Y  0.7342  0.7342  0.7975
Y  0.2658  0.2658  0.2025
Ac  0.5000  0.5000  0.5000

Calculated values
Total magnetic moment = 0.0 μB per formula unit
N(E_F) = 3.67 states/eV/cell
V = 31.6 Å³/atom

Q.
Material: AcY2Zn
Method: DFT, PBE
State: optimized geometry

Lattice parameters (Å, degrees): 3.7722 3.7722 10.6273 79.78 79.78 60.00
Fractional coordinates of all 4 atoms:
Zn  0.6662  0.6662  0.0015
Y  0.0658  0.0658  0.8026
Ac  0.5008  0.5008  0.4976
Y  0.2672  0.2672  0.1983

Calculated values
Total magnetic moment = 0.0 μB per formula unit
N(E_F) = 4.78 states/eV/cell
V = 32.0 Å³/atom

How far above the most stable structure does each one sit? In eV/atom: P 0.000; Q 0.022.

P.
Material: AcY2Zn
Method: DFT, PBE
State: optimized geometry

Lattice parameters (Å, degrees): 3.8624 5.5750 5.5750 90.00 90.00 90.00
Fractional coordinates of all 4 atoms:
Ac  0.5000  0.5000  0.5000
Zn  0.5000  0.0000  0.0000
Y  0.0000  0.0000  0.5000
Y  0.0000  0.5000  0.0000

Calculated values
Total magnetic moment = 0.0 μB per formula unit
N(E_F) = 5.73 states/eV/cell
V = 30.0 Å³/atom

Q.
Material: AcY2Zn
Method: DFT, PBE
State: optimized geometry

Lattice parameters (Å, degrees): 3.6662 3.6662 9.0841 90.00 90.00 90.00
Fractional coordinates of all 4 atoms:
Zn  0.5000  0.5000  0.0000
Ac  0.5000  0.5000  0.5000
Y  0.0000  0.0000  0.1901
Y  0.0000  0.0000  0.8099

Calculated values
Total magnetic moment = 0.0 μB per formula unit
N(E_F) = 4.90 states/eV/cell
V = 30.5 Å³/atom

How far above the most stable structure does each one sit? In eV/atom: P 0.262; Q 0.000.

P.
Material: AcY2Zr
Method: DFT, PBE
State: optimized geometry

Lattice parameters (Å, degrees): 4.0415 4.0415 8.0466 90.00 90.00 90.00
Fractional coordinates of all 4 atoms:
Ac  0.5000  0.5000  0.0000
Y  0.0000  0.0000  0.2942
Y  0.0000  0.0000  0.7058
Zr  0.5000  0.5000  0.5000

Calculated values
Total magnetic moment = 1.1 μB per formula unit
N(E_F) = 7.86 states/eV/cell
V = 32.9 Å³/atom

Q.
Material: AcY2Zr
Method: DFT, PBE
State: optimized geometry

Lattice parameters (Å, degrees): 5.0972 4.9863 4.9863 90.00 90.00 90.00
Fractional coordinates of all 4 atoms:
Y  0.0000  0.5000  0.0000
Ac  0.5000  0.5000  0.5000
Y  0.0000  0.0000  0.5000
Zr  0.5000  0.0000  0.0000

Calculated values
Total magnetic moment = 0.0 μB per formula unit
N(E_F) = 5.16 states/eV/cell
V = 31.7 Å³/atom

R.
Material: AcY2Zr
Method: DFT, PBE
State: optimized geometry

Lattice parameters (Å, degrees): 3.5883 3.5883 11.7179 81.19 81.19 60.00
Fractional coordinates of all 4 atoms:
Zr  0.0000  0.0000  0.0000
Y  0.2579  0.2579  0.2262
Ac  0.5000  0.5000  0.5000
Y  0.7421  0.7421  0.7738

Calculated values
Total magnetic moment = 0.0 μB per formula unit
N(E_F) = 6.22 states/eV/cell
V = 32.2 Å³/atom

How far above the most stable structure does each one sit? In eV/atom: P 0.029; Q 0.008; R 0.000.

P.
Material: AcZn4
Method: DFT, PBE
State: optimized geometry

Lattice parameters (Å, degrees): 6.2479 6.2479 6.2479 90.00 90.00 90.00
Fractional coordinates of all 5 atoms:
Ac  0.5000  0.5000  0.5000
Zn  0.5000  0.5000  0.0000
Zn  0.5000  0.0000  0.5000
Zn  0.0000  0.5000  0.5000
Zn  0.0000  0.0000  0.0000

Calculated values
Total magnetic moment = 0.0 μB per formula unit
N(E_F) = 6.47 states/eV/cell
V = 48.8 Å³/atom

Q.
Material: AcZn4
Method: DFT, PBE
State: optimized geometry

Lattice parameters (Å, degrees): 4.5070 4.5070 6.0778 111.78 111.78 89.96
Fractional coordinates of all 5 atoms:
Zn  0.8775  0.3775  0.2550
Zn  0.1225  0.6225  0.7450
Zn  0.7500  0.7500  0.0000
Ac  0.5000  0.0000  0.5000
Zn  0.2500  0.2500  0.0000

Calculated values
Total magnetic moment = 0.0 μB per formula unit
N(E_F) = 4.79 states/eV/cell
V = 21.0 Å³/atom

How far above the most stable structure does each one sit? In eV/atom: P 1.235; Q 0.000.

P.
Material: Ac4Zn
Method: DFT, PBE
State: optimized geometry

Lattice parameters (Å, degrees): 9.8687 6.5817 9.5253 69.78 58.80 48.15
Fractional coordinates of all 10 atoms:
Ac  0.5861  0.3320  0.1635
Ac  0.4139  0.6680  0.8365
Ac  0.7496  0.8320  0.8365
Ac  0.3320  0.3477  0.6408
Ac  0.0272  0.1523  0.6408
Ac  0.2504  0.1680  0.1635
Ac  0.6680  0.6523  0.3592
Zn  0.0000  0.2500  0.9999
Zn  0.0000  0.7500  0.0001
Ac  0.9728  0.8477  0.3592

Calculated values
Total magnetic moment = 0.0 μB per formula unit
N(E_F) = 14.63 states/eV/cell
V = 39.4 Å³/atom

Q.
Material: Ac4Zn
Method: DFT, PBE
State: optimized geometry

Lattice parameters (Å, degrees): 6.0605 6.0605 6.0605 90.00 90.00 90.00
Fractional coordinates of all 5 atoms:
Zn  0.5000  0.5000  0.5000
Ac  0.0000  0.0000  0.0000
Ac  0.5000  0.5000  0.0000
Ac  0.5000  0.0000  0.5000
Ac  0.0000  0.5000  0.5000

Calculated values
Total magnetic moment = 0.0 μB per formula unit
N(E_F) = 7.47 states/eV/cell
V = 44.5 Å³/atom

How far above the most stable structure does each one sit? In eV/atom: P 0.000; Q 0.154.

P.
Material: Ac5Zn
Method: DFT, PBE
State: optimized geometry

Lattice parameters (Å, degrees): 5.4163 5.3537 8.6588 108.01 90.00 90.00
Fractional coordinates of all 6 atoms:
Ac  0.0000  0.6615  0.3231
Ac  0.5000  0.5000  0.0000
Ac  0.0000  0.3385  0.6769
Zn  0.0000  0.0000  0.0000
Ac  0.5000  0.8380  0.6761
Ac  0.5000  0.1620  0.3239

Calculated values
Total magnetic moment = 0.0 μB per formula unit
N(E_F) = 8.32 states/eV/cell
V = 39.8 Å³/atom

Q.
Material: Ac5Zn
Method: DFT, PBE
State: optimized geometry

Lattice parameters (Å, degrees): 3.9709 3.9709 15.2621 90.00 90.00 90.00
Fractional coordinates of all 6 atoms:
Ac  0.0000  0.0000  0.1253
Ac  0.0000  0.0000  0.5000
Ac  0.5000  0.5000  0.3147
Ac  0.5000  0.5000  0.6853
Zn  0.5000  0.5000  0.0000
Ac  0.0000  0.0000  0.8747

Calculated values
Total magnetic moment = 0.0 μB per formula unit
N(E_F) = 8.15 states/eV/cell
V = 40.1 Å³/atom

How far above the most stable structure does each one sit? In eV/atom: P 0.140; Q 0.000.

P.
Material: AcZrZn2
Method: DFT, PBE
State: optimized geometry

Lattice parameters (Å, degrees): 3.6026 5.1390 5.1390 90.00 90.00 90.00
Fractional coordinates of all 4 atoms:
Ac  0.5000  0.5000  0.5000
Zn  0.0000  0.0000  0.5000
Zn  0.0000  0.5000  0.0000
Zr  0.5000  0.0000  0.0000

Calculated values
Total magnetic moment = 0.0 μB per formula unit
N(E_F) = 2.83 states/eV/cell
V = 23.8 Å³/atom

Q.
Material: AcZrZn2
Method: DFT, PBE
State: optimized geometry

Lattice parameters (Å, degrees): 3.5997 3.5997 7.3017 90.00 90.00 90.00
Fractional coordinates of all 4 atoms:
Zr  0.5000  0.5000  0.0000
Zn  0.0000  0.0000  0.1936
Zn  0.0000  0.0000  0.8064
Ac  0.5000  0.5000  0.5000

Calculated values
Total magnetic moment = 0.0 μB per formula unit
N(E_F) = 3.15 states/eV/cell
V = 23.7 Å³/atom

R.
Material: AcZrZn2
Method: DFT, PBE
State: optimized geometry

Lattice parameters (Å, degrees): 3.6318 3.6318 9.1765 78.59 78.59 60.00
Fractional coordinates of all 4 atoms:
Zn  0.2618  0.2618  0.2147
Zn  0.7382  0.7382  0.7853
Ac  0.5000  0.5000  0.5000
Zr  0.0000  0.0000  0.0000

Calculated values
Total magnetic moment = 0.0 μB per formula unit
N(E_F) = 4.08 states/eV/cell
V = 25.5 Å³/atom

How far above the most stable structure does each one sit? In eV/atom: P 0.150; Q 0.000; R 0.243.

P.
Material: Ag
Method: DFT, PBE
State: optimized geometry

Lattice parameters (Å, degrees): 8.3959 8.3959 8.3959 90.00 90.00 90.00
Fractional coordinates of all 16 atoms:
Ag  0.1202  0.1202  0.8798
Ag  0.8798  0.8798  0.8798
Ag  0.8051  0.8051  0.1949
Ag  0.8798  0.1202  0.1202
Ag  0.3051  0.3051  0.6949
Ag  0.6949  0.3051  0.3051
Ag  0.1949  0.8051  0.8051
Ag  0.3798  0.6202  0.6202
Ag  0.3051  0.6949  0.3051
Ag  0.1202  0.8798  0.1202
Ag  0.6202  0.6202  0.3798
Ag  0.1949  0.1949  0.1949
Ag  0.6202  0.3798  0.6202
Ag  0.3798  0.3798  0.3798
Ag  0.8051  0.1949  0.8051
Ag  0.6949  0.6949  0.6949

Calculated values
Total magnetic moment = 0.0 μB per formula unit
N(E_F) = 5.15 states/eV/cell
V = 37.0 Å³/atom

Q.
Material: Ag
Method: DFT, PBE
State: optimized geometry

Lattice parameters (Å, degrees): 4.7376 4.7376 2.7314 90.00 90.00 120.00
Fractional coordinates of all 2 atoms:
Ag  0.6667  0.3333  0.5000
Ag  0.3333  0.6667  0.5000

Calculated values
Total magnetic moment = 0.0 μB per formula unit
N(E_F) = 0.64 states/eV/cell
V = 26.5 Å³/atom

R.
Material: Ag
Method: DFT, PBE
State: optimized geometry

Lattice parameters (Å, degrees): 7.6384 7.6384 4.7256 90.00 90.00 120.00
Fractional coordinates of all 12 atoms:
Ag  0.1913  0.2472  0.2500
Ag  0.7528  0.9441  0.2500
Ag  0.0559  0.8087  0.2500
Ag  0.5210  0.9032  0.7500
Ag  0.6178  0.5210  0.2500
Ag  0.9032  0.3822  0.2500
Ag  0.0968  0.6178  0.7500
Ag  0.8087  0.7528  0.7500
Ag  0.4790  0.0968  0.2500
Ag  0.2472  0.0559  0.7500
Ag  0.3822  0.4790  0.7500
Ag  0.9441  0.1913  0.7500

Calculated values
Total magnetic moment = 0.0 μB per formula unit
N(E_F) = 2.92 states/eV/cell
V = 19.9 Å³/atom

S.
Material: Ag
Method: DFT, PBE
State: optimized geometry

Lattice parameters (Å, degrees): 7.4176 7.4176 7.4176 22.77 22.77 22.77
Fractional coordinates of all 3 atoms:
Ag  0.0000  0.0000  0.0000
Ag  0.7777  0.7777  0.7777
Ag  0.2223  0.2223  0.2223

Calculated values
Total magnetic moment = 0.0 μB per formula unit
N(E_F) = 0.61 states/eV/cell
V = 17.9 Å³/atom

How far above the most stable structure does each one sit? In eV/atom: P 0.715; Q 0.558; R 0.147; S 0.000.